# AgGePt2 | Alexandria via LeMat-Bulk | GGA-PBE | optimized geometry
# Energy relative to the elements in eV per atom: -0.10
data_AgGePt2
_chemical_formula_sum 'Ag1 Ge1 Pt2'
_cell_length_a 4.0758
_cell_length_b 4.0758
_cell_length_c 3.8882
_cell_angle_alpha 90.00
_cell_angle_beta 90.00
_cell_angle_gamma 90.00
_symmetry_space_group_name_H-M 'P 4/m m m'
_symmetry_Int_Tables_number 123
_symmetry_space_group_name_Hall '-P 4 2'
loop_
_atom_site_label
_atom_site_type_symbol
_atom_site_fract_x
_atom_site_fract_y
_atom_site_fract_z
_atom_site_occupancy
Ag1 Ag 0.0000 0.0000 0.0000 1
Ge1 Ge 0.5000 0.5000 0.0000 1
Pt1 Pt 0.0000 0.5000 0.5000 1



# Li16Nb2N8O | Alexandria via LeMat-Bulk | GGA-PBE | optimized geometry
# Uncorrected formation energy in kJ per mole of atoms: -84.8
data_Li16Nb2N8O
_chemical_formula_sum 'Li48 Nb6 N24 O3'
_cell_length_a 6.0055
_cell_length_b 6.0055
_cell_length_c 25.5505
_cell_angle_alpha 90.00
_cell_angle_beta 90.00
_cell_angle_gamma 120.00
_symmetry_space_group_name_H-M 'R -3'
_symmetry_Int_Tables_number 148
_symmetry_space_group_name_Hall '-R 3'
loop_
_atom_site_label
_atom_site_type_symbol
_atom_site_fract_x
_atom_site_fract_y
_atom_site_fract_z
_atom_site_occupancy
Li1 Li 0.0000 0.0000 0.0776 1
Li2 Li 0.0000 0.0000 0.4171 1
Li3 Li 0.0071 0.6419 0.3096 1
Li4 Li 0.0231 0.6356 0.8085 1
Nb1 Nb 0.0000 0.0000 0.2494 1
N1 N 0.0000 0.0000 0.3268 1
N2 N 0.0013 0.6885 0.2245 1
O1 O 0.0000 0.0000 0.0000 1



# Er2Th2In3 | Alexandria via LeMat-Bulk | GGA-PBE | optimized geometry
# Energy relative to the elements in eV per atom: -0.21
data_Er2Th2In3
_chemical_formula_sum 'Er4 Th4 In6'
_cell_length_a 4.6695
_cell_length_b 24.6629
_cell_length_c 3.4343
_cell_angle_alpha 90.00
_cell_angle_beta 90.00
_cell_angle_gamma 90.00
_symmetry_space_group_name_H-M 'C m m m'
_symmetry_Int_Tables_number 65
_symmetry_space_group_name_Hall '-C 2 2'
loop_
_atom_site_label
_atom_site_type_symbol
_atom_site_fract_x
_atom_site_fract_y
_atom_site_fract_z
_atom_site_occupancy
Er1 Er 0.0000 0.2040 0.0000 1
Th1 Th 0.0000 0.0718 0.0000 1
In1 In 0.0000 0.3488 0.5000 1
In2 In 0.0000 0.5000 0.5000 1



# SiTeNF2 | Alexandria via LeMat-Bulk | GGA-PBE | optimized geometry
# Excess energy over the best structure of this formula in the dataset in eV per formula unit: 3.53
# Uncorrected formation energy in kJ per mole of atoms: 14.1
data_SiTeNF2
_chemical_formula_sum 'Si1 Te1 N1 F2'
_cell_length_a 4.5159
_cell_length_b 4.5159
_cell_length_c 4.1673
_cell_angle_alpha 90.00
_cell_angle_beta 90.00
_cell_angle_gamma 90.00
_symmetry_space_group_name_H-M 'P 4/m m m'
_symmetry_Int_Tables_number 123
_symmetry_space_group_name_Hall '-P 4 2'
loop_
_atom_site_label
_atom_site_type_symbol
_atom_site_fract_x
_atom_site_fract_y
_atom_site_fract_z
_atom_site_occupancy
Si1 Si 0.0000 0.0000 0.0000 1
Te1 Te 0.5000 0.5000 0.5000 1
N1 N 0.5000 0.5000 0.0000 1
F1 F 0.0000 0.5000 0.5000 1



# GaTe3As | Alexandria via LeMat-Bulk | GGA-PBE | optimized geometry
# Excess energy over the best structure of this formula in the dataset in eV per formula unit: 0.00
# Uncorrected formation energy in kJ per mole of atoms: 34.4
data_GaTe3As
_chemical_formula_sum 'Ga1 Te3 As1'
_cell_length_a 5.5001
_cell_length_b 5.5001
_cell_length_c 5.5001
_cell_angle_alpha 90.00
_cell_angle_beta 90.00
_cell_angle_gamma 90.00
_symmetry_space_group_name_H-M 'P m -3 m'
_symmetry_Int_Tables_number 221
_symmetry_space_group_name_Hall '-P 4 2 3'
loop_
_atom_site_label
_atom_site_type_symbol
_atom_site_fract_x
_atom_site_fract_y
_atom_site_fract_z
_atom_site_occupancy
Ga1 Ga 0.0000 0.0000 0.0000 1
Te1 Te 0.0000 0.5000 0.5000 1
As1 As 0.5000 0.5000 0.5000 1



# AlHgGe2 | Alexandria via LeMat-Bulk | GGA-PBE | optimized geometry
# Excess energy over the best structure of this formula in the dataset in eV per formula unit: 0.00
# Energy relative to the elements in eV per atom: 0.24
data_AlHgGe2
_chemical_formula_sum 'Al3 Hg3 Ge6'
_cell_length_a 4.0703
_cell_length_b 4.0703
_cell_length_c 18.2281
_cell_angle_alpha 90.00
_cell_angle_beta 90.00
_cell_angle_gamma 120.00
_symmetry_space_group_name_H-M 'R -3 m'
_symmetry_Int_Tables_number 166
_symmetry_space_group_name_Hall '-R 3 2"'
loop_
_atom_site_label
_atom_site_type_symbol
_atom_site_fract_x
_atom_site_fract_y
_atom_site_fract_z
_atom_site_occupancy
Al1 Al 0.0000 0.0000 0.0000 1
Hg1 Hg 0.0000 0.0000 0.5000 1
Ge1 Ge 0.0000 0.0000 0.2664 1



# MgTe4Pb | Alexandria via LeMat-Bulk | GGA-PBE | optimized geometry
# Uncorrected formation energy in kJ per mole of atoms: 23.3
data_MgTe4Pb
_chemical_formula_sum 'Mg4 Te16 Pb4'
_cell_length_a 9.0856
_cell_length_b 9.0856
_cell_length_c 9.0856
_cell_angle_alpha 90.00
_cell_angle_beta 90.00
_cell_angle_gamma 90.00
_symmetry_space_group_name_H-M 'F -4 3 m'
_symmetry_Int_Tables_number 216
_symmetry_space_group_name_Hall 'F -4 2 3'
loop_
_atom_site_label
_atom_site_type_symbol
_atom_site_fract_x
_atom_site_fract_y
_atom_site_fract_z
_atom_site_occupancy
Mg1 Mg 0.0000 0.0000 0.0000 1
Te1 Te 0.1257 0.1257 0.3743 1
Pb1 Pb 0.2500 0.2500 0.7500 1



# TiNi6Pd | Alexandria via LeMat-Bulk | GGA-PBE | optimized geometry
# Energy relative to the elements in eV per atom: -0.19
data_TiNi6Pd
_chemical_formula_sum 'Ti1 Ni6 Pd1'
_cell_length_a 5.1473
_cell_length_b 5.1473
_cell_length_c 3.6081
_cell_angle_alpha 90.00
_cell_angle_beta 90.00
_cell_angle_gamma 90.00
_symmetry_space_group_name_H-M 'P 4/m m m'
_symmetry_Int_Tables_number 123
_symmetry_space_group_name_Hall '-P 4 2'
loop_
_atom_site_label
_atom_site_type_symbol
_atom_site_fract_x
_atom_site_fract_y
_atom_site_fract_z
_atom_site_occupancy
Ti1 Ti 0.0000 0.0000 0.0000 1
Ni1 Ni 0.0000 0.5000 0.0000 1
Ni2 Ni 0.2466 0.2466 0.5000 1
Pd1 Pd 0.5000 0.5000 0.0000 1



# Tb2PmHg | Alexandria via LeMat-Bulk | GGA-PBE | optimized geometry
# Excess energy over the best structure of this formula in the dataset in eV per formula unit: 0.28
# Energy relative to the elements in eV per atom: -0.16
data_Tb2PmHg
_chemical_formula_sum 'Tb2 Pm1 Hg1'
_cell_length_a 4.8614
_cell_length_b 4.8614
_cell_length_c 4.8317
_cell_angle_alpha 90.00
_cell_angle_beta 90.00
_cell_angle_gamma 90.00
_symmetry_space_group_name_H-M 'P 4/m m m'
_symmetry_Int_Tables_number 123
_symmetry_space_group_name_Hall '-P 4 2'
loop_
_atom_site_label
_atom_site_type_symbol
_atom_site_fract_x
_atom_site_fract_y
_atom_site_fract_z
_atom_site_occupancy
Tb1 Tb 0.0000 0.5000 0.0000 1
Pm1 Pm 0.0000 0.0000 0.5000 1
Hg1 Hg 0.5000 0.5000 0.5000 1



# Sr2ZrGa2 | Alexandria via LeMat-Bulk | GGA-PBE | optimized geometry
# Excess energy over the best structure of this formula in the dataset in eV per formula unit: 1.60
# Energy relative to the elements in eV per atom: 0.21
data_Sr2ZrGa2
_chemical_formula_sum 'Sr4 Zr2 Ga4'
_cell_length_a 4.4537
_cell_length_b 4.4537
_cell_length_c 13.7001
_cell_angle_alpha 90.00
_cell_angle_beta 90.00
_cell_angle_gamma 90.00
_symmetry_space_group_name_H-M 'I 4/m m m'
_symmetry_Int_Tables_number 139
_symmetry_space_group_name_Hall '-I 4 2'
loop_
_atom_site_label
_atom_site_type_symbol
_atom_site_fract_x
_atom_site_fract_y
_atom_site_fract_z
_atom_site_occupancy
Sr1 Sr 0.0000 0.5000 0.2500 1
Zr1 Zr 0.0000 0.0000 0.0000 1
Ga1 Ga 0.0000 0.0000 0.4133 1



# DyPuSn | Alexandria via LeMat-Bulk | GGA-PBE | optimized geometry
# Excess energy over the best structure of this formula in the dataset in eV per formula unit: 0.75
# Energy relative to the elements in eV per atom: -0.23
data_DyPuSn
_chemical_formula_sum 'Dy1 Pu1 Sn1'
_cell_length_a 5.2462
_cell_length_b 5.2462
_cell_length_c 3.4698
_cell_angle_alpha 90.00
_cell_angle_beta 90.00
_cell_angle_gamma 120.00
_symmetry_space_group_name_H-M 'P 3 m 1'
_symmetry_Int_Tables_number 156
loop_
_symmetry_equiv_pos_as_xyz
'x,y,z'
'-y,x-y,z'
'-x+y,-x,z'
'-y,-x,z'
'-x+y,y,z'
'x,x-y,z'
loop_
_atom_site_label
_atom_site_type_symbol
_atom_site_fract_x
_atom_site_fract_y
_atom_site_fract_z
_atom_site_occupancy
Dy1 Dy 0.0000 0.0000 0.0000 1
Pu1 Pu 0.6667 0.3333 0.4158 1
Sn1 Sn 0.3333 0.6667 0.7485 1



# YPu3Pt8 | Alexandria via LeMat-Bulk | GGA-PBE | optimized geometry
# Energy relative to the elements in eV per atom: -0.85
data_YPu3Pt8
_chemical_formula_sum 'Y1 Pu3 Pt8'
_cell_length_a 5.4579
_cell_length_b 5.4579
_cell_length_c 8.9221
_cell_angle_alpha 90.00
_cell_angle_beta 90.00
_cell_angle_gamma 120.00
_symmetry_space_group_name_H-M 'P 3 m 1'
_symmetry_Int_Tables_number 156
loop_
_symmetry_equiv_pos_as_xyz
'x,y,z'
'-y,x-y,z'
'-x+y,-x,z'
'-y,-x,z'
'-x+y,y,z'
'x,x-y,z'
loop_
_atom_site_label
_atom_site_type_symbol
_atom_site_fract_x
_atom_site_fract_y
_atom_site_fract_z
_atom_site_occupancy
Y1 Y 0.0000 0.0000 0.0000 1
Pu1 Pu 0.0000 0.0000 0.3752 1
Pu2 Pu 0.6667 0.3333 0.4936 1
Pu3 Pu 0.6667 0.3333 0.8618 1
Pt1 Pt 0.1644 0.3288 0.6833 1
Pt2 Pt 0.3333 0.6667 0.4317 1
Pt3 Pt 0.3333 0.6667 0.9322 1
Pt4 Pt 0.5026 0.0051 0.1808 1



# Mg2Bi | Alexandria via LeMat-Bulk | GGA-PBE | optimized geometry
# Energy relative to the elements in eV per atom: -0.02
data_Mg2Bi
_chemical_formula_sum 'Mg8 Bi4'
_cell_length_a 3.6396
_cell_length_b 15.6067
_cell_length_c 5.6175
_cell_angle_alpha 90.00
_cell_angle_beta 90.00
_cell_angle_gamma 90.00
_symmetry_space_group_name_H-M 'C m c m'
_symmetry_Int_Tables_number 63
_symmetry_space_group_name_Hall '-C 2c 2'
loop_
_atom_site_label
_atom_site_type_symbol
_atom_site_fract_x
_atom_site_fract_y
_atom_site_fract_z
_atom_site_occupancy
Mg1 Mg 0.0000 0.0496 0.2500 1
Mg2 Mg 0.0000 0.3857 0.2500 1
Bi1 Bi 0.0000 0.2894 0.7500 1



# ReSeI3 | Alexandria via LeMat-Bulk | GGA-PBE | optimized geometry
# Excess energy over the best structure of this formula in the dataset in eV per formula unit: 2.25
# Uncorrected formation energy in kJ per mole of atoms: 127.6
data_ReSeI3
_chemical_formula_sum 'Re1 Se1 I3'
_cell_length_a 5.7783
_cell_length_b 5.7783
_cell_length_c 5.7783
_cell_angle_alpha 90.00
_cell_angle_beta 90.00
_cell_angle_gamma 90.00
_symmetry_space_group_name_H-M 'P m -3 m'
_symmetry_Int_Tables_number 221
_symmetry_space_group_name_Hall '-P 4 2 3'
loop_
_atom_site_label
_atom_site_type_symbol
_atom_site_fract_x
_atom_site_fract_y
_atom_site_fract_z
_atom_site_occupancy
Re1 Re 0.0000 0.0000 0.0000 1
Se1 Se 0.5000 0.5000 0.5000 1
I1 I 0.0000 0.5000 0.5000 1



# LaCdRe2O8 | Alexandria via LeMat-Bulk | GGA-PBE | optimized geometry
# Uncorrected formation energy in kJ per mole of atoms: -174.7
data_LaCdRe2O8
_chemical_formula_sum 'La1 Cd1 Re2 O8'
_cell_length_a 6.5131
_cell_length_b 6.5131
_cell_length_c 7.8812
_cell_angle_alpha 90.00
_cell_angle_beta 90.00
_cell_angle_gamma 120.00
_symmetry_space_group_name_H-M 'P -3'
_symmetry_Int_Tables_number 147
loop_
_symmetry_equiv_pos_as_xyz
'x,y,z'
'-x,-y,-z'
'-y,x-y,z'
'y,-x+y,-z'
'-x+y,-x,z'
'x-y,x,-z'
loop_
_atom_site_label
_atom_site_type_symbol
_atom_site_fract_x
_atom_site_fract_y
_atom_site_fract_z
_atom_site_occupancy
La1 La 0.0000 0.0000 0.0000 1
Cd1 Cd 0.0000 0.0000 0.5000 1
Re1 Re 0.3333 0.6667 0.2325 1
O1 O 0.1822 0.3683 0.1559 1
O2 O 0.3333 0.6667 0.4530 1



# CaZrBrN2 | Alexandria via LeMat-Bulk | GGA-PBE | optimized geometry
# Uncorrected formation energy in kJ per mole of atoms: 174.3
data_CaZrBrN2
_chemical_formula_sum 'Ca1 Zr1 Br1 N2'
_cell_length_a 4.5069
_cell_length_b 4.5069
_cell_length_c 4.8677
_cell_angle_alpha 90.00
_cell_angle_beta 90.00
_cell_angle_gamma 90.00
_symmetry_space_group_name_H-M 'P 4/m m m'
_symmetry_Int_Tables_number 123
_symmetry_space_group_name_Hall '-P 4 2'
loop_
_atom_site_label
_atom_site_type_symbol
_atom_site_fract_x
_atom_site_fract_y
_atom_site_fract_z
_atom_site_occupancy
Ca1 Ca 0.0000 0.0000 0.0000 1
Zr1 Zr 0.5000 0.5000 0.0000 1
Br1 Br 0.0000 0.0000 0.5000 1
N1 N 0.0000 0.5000 0.5000 1



# Mg2PtCl | Alexandria via LeMat-Bulk | GGA-PBE | optimized geometry
# Excess energy over the best structure of this formula in the dataset in eV per formula unit: 0.70
# Uncorrected formation energy in kJ per mole of atoms: -79.1
data_Mg2PtCl
_chemical_formula_sum 'Mg4 Pt2 Cl2'
_cell_length_a 3.1228
_cell_length_b 3.5405
_cell_length_c 16.5541
_cell_angle_alpha 90.00
_cell_angle_beta 90.00
_cell_angle_gamma 90.00
_symmetry_space_group_name_H-M 'I m m 2'
_symmetry_Int_Tables_number 44
loop_
_symmetry_equiv_pos_as_xyz
'x,y,z'
'-x,-y,z'
'-x,y,z'
'x,-y,z'
'x+1/2,y+1/2,z+1/2'
'-x+1/2,-y+1/2,z+1/2'
'-x+1/2,y+1/2,z+1/2'
'x+1/2,-y+1/2,z+1/2'
loop_
_atom_site_label
_atom_site_type_symbol
_atom_site_fract_x
_atom_site_fract_y
_atom_site_fract_z
_atom_site_occupancy
Mg1 Mg 0.0000 0.0000 0.0000 1
Mg2 Mg 0.0000 0.5000 0.1995 1
Pt1 Pt 0.0000 0.5000 0.6306 1
Cl1 Cl 0.0000 0.0000 0.4202 1



# BaTl2AgBr | Alexandria via LeMat-Bulk | GGA-PBE | optimized geometry
# Uncorrected formation energy in kJ per mole of atoms: -2.1
data_BaTl2AgBr
_chemical_formula_sum 'Ba1 Tl2 Ag1 Br1'
_cell_length_a 6.1268
_cell_length_b 6.1268
_cell_length_c 5.3128
_cell_angle_alpha 90.00
_cell_angle_beta 90.00
_cell_angle_gamma 90.00
_symmetry_space_group_name_H-M 'P 4/m m m'
_symmetry_Int_Tables_number 123
_symmetry_space_group_name_Hall '-P 4 2'
loop_
_atom_site_label
_atom_site_type_symbol
_atom_site_fract_x
_atom_site_fract_y
_atom_site_fract_z
_atom_site_occupancy
Ba1 Ba 0.0000 0.0000 0.0000 1
Tl1 Tl 0.0000 0.5000 0.5000 1
Ag1 Ag 0.5000 0.5000 0.0000 1
Br1 Br 0.5000 0.5000 0.5000 1



# La2CdSe | Alexandria via LeMat-Bulk | GGA-PBE | optimized geometry
# Excess energy over the best structure of this formula in the dataset in eV per formula unit: 0.00
# Uncorrected formation energy in kJ per mole of atoms: -101.6
data_La2CdSe
_chemical_formula_sum 'La6 Cd3 Se3'
_cell_length_a 4.2901
_cell_length_b 4.2901
_cell_length_c 23.7282
_cell_angle_alpha 90.00
_cell_angle_beta 90.00
_cell_angle_gamma 120.00
_symmetry_space_group_name_H-M 'R -3 m'
_symmetry_Int_Tables_number 166
_symmetry_space_group_name_Hall '-R 3 2"'
loop_
_atom_site_label
_atom_site_type_symbol
_atom_site_fract_x
_atom_site_fract_y
_atom_site_fract_z
_atom_site_occupancy
La1 La 0.0000 0.0000 0.2405 1
Cd1 Cd 0.0000 0.0000 0.0000 1
Se1 Se 0.0000 0.0000 0.5000 1



# AlIr2Se | Alexandria via LeMat-Bulk | GGA-PBE | optimized geometry
# Excess energy over the best structure of this formula in the dataset in eV per formula unit: 1.10
# Uncorrected formation energy in kJ per mole of atoms: 9.4
data_AlIr2Se
_chemical_formula_sum 'Al4 Ir8 Se4'
_cell_length_a 6.2422
_cell_length_b 6.2422
_cell_length_c 6.2422
_cell_angle_alpha 90.00
_cell_angle_beta 90.00
_cell_angle_gamma 90.00
_symmetry_space_group_name_H-M 'F m -3 m'
_symmetry_Int_Tables_number 225
_symmetry_space_group_name_Hall '-F 4 2 3'
loop_
_atom_site_label
_atom_site_type_symbol
_atom_site_fract_x
_atom_site_fract_y
_atom_site_fract_z
_atom_site_occupancy
Al1 Al 0.0000 0.0000 0.0000 1
Ir1 Ir 0.2500 0.2500 0.2500 1
Se1 Se 0.0000 0.0000 0.5000 1



Record-wise D(E_F) values, in states/eV per cell: 2.31 0.00 12.03 1.58 5.99 5.59 6.20 12.29 5.27 9.66 6.70 33.48 3.99 1.23 5.83 3.25 1.90 3.69 8.36 21.33